[1]
Entry from the Alexandria database: an optimized crystal structure of Ca5P3ClO12 (GGA-PBE).

extended XYZ file:
```
84
Lattice="9.8563 0.0000 0.0000 0.0000 6.7601 0.0000 -9.8446 0.0000 17.0643" Properties=species:S:1:pos:R:3 pbc="T T T"
Ca -1.0451 1.6808 2.1404
Ca -5.9674 1.6993 10.6726
Ca -1.3193 1.6875 6.5559
Ca -6.2416 1.6925 15.0880
Ca -4.8304 5.0564 12.9569
Ca 0.0919 5.0837 4.4247
Ca 2.4315 3.4113 1.3700
Ca -2.4908 6.7289 9.9022
Ca -2.4281 3.4112 10.0061
Ca 2.4942 6.7289 1.4739
Ca -2.4825 0.0312 15.5903
Ca 2.4398 3.3489 7.0582
Ca 2.5025 0.0312 7.1621
Ca -2.4198 3.3488 15.6943
Ca -0.0803 1.6764 12.6395
Ca 4.8421 1.7037 4.1074
Ca 6.2533 5.0676 1.9762
Ca 1.3310 5.0725 10.5084
Ca 5.9791 5.0608 6.3917
Ca 1.0568 5.0793 14.9238
P -4.1662 1.6805 7.7584
P -9.0885 1.6995 16.2905
P 1.4234 1.6716 3.9943
P -3.4989 1.7084 12.5264
P -0.2866 5.0491 7.4908
P -5.2089 5.0910 16.0229
P 5.2206 1.6691 1.0413
P 0.2983 1.7109 9.5735
P 3.5106 5.0517 4.5379
P -1.4117 5.0885 13.0700
P 9.1002 5.0606 0.7737
P 4.1779 5.0796 9.3059
Cl -2.4506 3.9576 4.2574
Cl -7.3729 6.1825 12.7895
Cl 7.3846 0.5776 4.2747
Cl 2.4622 2.8024 12.8069
O -8.2874 0.5008 15.7079
O -3.3651 2.8792 7.1758
O -3.3963 0.3845 7.3686
O -8.3186 2.9955 15.9007
O 0.8366 1.6098 0.7924
O -4.0857 1.7702 9.3245
O 0.7129 5.0561 1.2519
O -4.2094 5.0840 9.7840
O -4.3677 0.4813 12.1233
O 0.5547 2.8988 3.5912
O 0.6605 0.4022 3.5206
O -4.2619 2.9779 12.0528
O -5.3133 3.8754 15.0586
O -0.3910 6.2648 6.5264
O -1.4355 5.0289 8.5242
O -6.3578 5.1112 17.0563
O -0.2379 3.7703 6.6047
O -5.1602 6.3698 15.1368
O -1.0973 1.6322 8.8571
O 3.8250 1.7478 0.3249
O -2.1824 1.6480 11.6720
O 2.7400 1.7320 3.1399
O 1.7469 1.6488 5.5049
O -3.1754 1.7312 14.0370
O 3.1871 5.0288 3.0272
O -1.7352 5.1113 11.5594
O -2.7283 5.0280 13.9244
O 2.1940 5.1121 5.3922
O -3.8133 5.0122 16.7393
O 1.1090 5.1279 8.2072
O 5.1719 0.3903 1.9274
O 0.2495 2.9898 10.4596
O 6.3695 1.6489 0.0079
O 1.4471 1.7311 8.5401
O 0.4027 0.4953 10.5378
O 5.3250 2.8847 2.0057
O 4.2735 3.7822 5.0115
O -0.6488 6.3579 13.5436
O -0.5430 3.8613 13.4731
O 4.3793 6.2788 4.9410
O 4.2211 1.6760 7.2803
O -0.7012 1.7040 15.8124
O 4.0974 4.9899 7.7397
O -0.8249 5.1503 16.2719
O 8.3303 3.7646 1.1636
O 3.4080 6.3755 9.6957
O 3.3768 3.8809 9.8885
O 8.2991 6.2592 1.3563
```

Calculated values
SG   No. 14

=====

[2]
Entry from the Alexandria database: an optimized crystal structure of Ca2P3Pb3ClO12 (GGA-PBE).

extended XYZ file:
```
42
Lattice="10.0243 0.0000 0.0000 -5.0121 8.6813 0.0000 0.0000 0.0000 7.1280" Properties=species:S:1:pos:R:3 pbc="T T T"
Ca 0.0000 5.7875 0.0419
Ca 0.0000 5.7875 3.5221
Ca 5.0121 2.8938 3.6059
Ca 5.0121 2.8938 7.0860
P -1.7855 3.6641 5.3460
P -0.9462 8.3956 5.3460
P 2.2805 3.3784 1.7820
P 2.7317 5.3029 5.3460
P 5.9583 0.2857 1.7820
P 6.7977 5.0172 1.7820
Pb -3.5999 6.5836 5.3460
Pb 1.1105 2.2719 5.3460
Pb 2.5228 0.1742 1.7820
Pb 2.4894 8.5071 5.3460
Pb 3.9016 6.4094 1.7820
Pb 8.6120 2.0977 1.7820
Cl 0.0000 0.0000 0.0000
Cl 0.0000 0.0000 3.5640
O -1.0071 3.1651 4.0917
O -1.0071 3.1651 6.6003
O -1.6232 5.2365 5.3460
O -1.7360 5.4291 1.7820
O -1.7675 7.9709 4.0917
O -1.7675 7.9709 6.6003
O 2.2375 2.4547 0.5277
O 2.2375 2.4547 3.0363
O 1.1784 4.4633 1.7820
O 1.2888 4.6573 5.3460
O 0.3344 7.4687 5.3460
O 0.5576 7.4702 1.7820
O 4.4545 1.2111 5.3460
O 4.6777 1.2125 1.7820
O 3.7234 4.0240 1.7820
O 3.8337 4.2180 5.3460
O 2.7746 6.2266 4.0917
O 2.7746 6.2266 6.6003
O 6.7797 0.7104 0.5277
O 6.7797 0.7104 3.0363
O 6.7482 3.2522 5.3460
O 6.6353 3.4447 1.7820
O 6.0193 5.5162 0.5277
O 6.0193 5.5162 3.0363
```

Calculated values
SG   No. 176

=====

[3]
Entry from the Alexandria database: an optimized crystal structure of CaPa2ClO5 (GGA-PBE).

extended XYZ file:
```
18
Lattice="6.5364 0.0000 0.0000 0.0000 6.5364 0.0000 0.0000 0.0000 6.9102" Properties=species:S:1:pos:R:3 pbc="T T T"
Ca 0.0000 3.2682 0.0000
Ca 3.2682 0.0000 0.0000
Pa 1.1631 2.1051 3.4551
Pa 2.1051 5.3733 3.4551
Pa 4.4313 1.1631 3.4551
Pa 5.3733 4.4313 3.4551
Cl 0.0000 0.0000 0.0000
Cl 3.2682 3.2682 0.0000
O 0.0000 0.0000 3.4551
O 0.8929 4.1611 2.1411
O 0.8929 4.1611 4.7692
O 2.3753 0.8929 2.1411
O 2.3753 0.8929 4.7692
O 3.2682 3.2682 3.4551
O 4.1611 5.6435 2.1411
O 4.1611 5.6435 4.7692
O 5.6435 2.3753 2.1411
O 5.6435 2.3753 4.7692
```

Calculated values
SG   No. 127

=====

[4]
Entry from the Alexandria database: an optimized crystal structure of CaPb2Cl2O2 (GGA-PBE).

extended XYZ file:
```
7
Lattice="-2.2189 2.2189 7.6520 2.2189 -2.2189 7.6520 2.2189 2.2189 -7.6520" Properties=species:S:1:pos:R:3 pbc="T T T"
Ca 0.0000 0.0000 0.0000
Pb 0.0000 0.0000 6.0174
Pb 0.0000 0.0000 9.2867
Cl 0.0000 0.0000 2.7835
Cl 0.0000 0.0000 12.5206
O 2.2189 0.0000 0.0000
O 0.0000 2.2189 0.0000
```

Calculated values
SG   No. 139

=====

[5]
Entry from the Alexandria database: an optimized crystal structure of Ca2PbCl2O2 (GGA-PBE).

extended XYZ file:
```
7
Lattice="-2.3337 2.3337 7.1890 2.3337 -2.3337 7.1890 2.3337 2.3337 -7.1890" Properties=species:S:1:pos:R:3 pbc="T T T"
Ca 0.0000 0.0000 1.5487
Ca 0.0000 0.0000 12.8293
Pb 0.0000 0.0000 7.1890
Cl 0.0000 0.0000 4.2329
Cl 0.0000 0.0000 10.1451
O 2.3337 0.0000 0.0000
O 0.0000 2.3337 0.0000
```

Calculated values
SG   No. 139

=====

[6]
Entry from the Alexandria database: an optimized crystal structure of Ca4Si6Pb6Cl2O21 (GGA-PBE).

extended XYZ file:
```
78
Lattice="10.3121 0.0000 0.0000 -5.1561 8.9306 0.0000 0.0000 0.0000 13.4254" Properties=species:S:1:pos:R:3 pbc="T T T"
Ca 0.0000 5.9537 0.0973
Ca 0.0000 5.9537 3.3563
Ca 0.0000 5.9537 6.6154
Ca 0.0000 5.9537 10.0690
Ca 5.1561 2.9769 3.3563
Ca 5.1561 2.9769 6.8100
Ca 5.1561 2.9769 10.0690
Ca 5.1561 2.9769 13.3281
Si -2.8296 5.3465 8.5418
Si -2.8296 5.3465 11.5963
Si 1.9407 3.8069 8.5418
Si 1.9407 3.8069 11.5963
Si 4.2672 0.2227 1.8291
Si 4.2672 0.2227 4.8836
Si 0.8889 8.7078 8.5418
Si 0.8889 8.7078 11.5963
Si 3.2154 5.1237 1.8291
Si 3.2154 5.1237 4.8836
Si 7.9857 3.5841 1.8291
Si 7.9857 3.5841 4.8836
Pb -1.2120 2.4171 8.1503
Pb -1.2120 2.4171 11.9878
Pb -2.4568 8.7716 8.1503
Pb -2.4568 8.7716 11.9878
Pb 1.4873 2.2581 1.4376
Pb 1.4873 2.2581 5.2751
Pb 3.6688 6.6725 8.1503
Pb 3.6688 6.6725 11.9878
Pb 7.6129 0.1590 1.4376
Pb 7.6129 0.1590 5.2751
Pb 6.3680 6.5135 1.4376
Pb 6.3680 6.5135 5.2751
Cl 0.0000 0.0000 0.0000
Cl 0.0000 0.0000 3.3563
Cl 0.0000 0.0000 6.7127
Cl 0.0000 0.0000 10.0690
O -2.8012 6.0731 10.0690
O -3.0939 6.5920 7.4754
O -3.0939 6.5920 12.6626
O -1.2829 4.7907 8.3344
O -1.2829 4.7907 11.8036
O -1.2415 4.7663 1.7237
O -1.2415 4.7663 4.9890
O 0.9941 2.9552 7.4754
O 0.9941 2.9552 12.6626
O 1.2972 3.4681 10.0690
O 3.0563 0.6166 0.7627
O 3.0563 0.6166 5.9499
O -0.4076 7.6227 1.7237
O -0.4076 7.6227 4.9890
O 3.6520 0.6106 3.3563
O -0.3657 7.6463 8.3344
O -0.3657 7.6463 11.8036
O 1.6486 5.4242 8.3344
O 1.6486 5.4242 11.8036
O 1.6491 5.4722 1.7237
O 1.6491 5.4722 4.9890
O 3.5069 3.4583 8.4364
O 3.5069 3.4583 11.7017
O 3.5074 3.5064 1.6217
O 3.5074 3.5064 5.0910
O 5.5218 1.2843 1.6217
O 5.5218 1.2843 5.0910
O 1.5040 8.3200 10.0690
O 5.5637 1.3079 8.4364
O 5.5637 1.3079 11.7017
O 2.0997 8.3139 7.4754
O 2.0997 8.3139 12.6626
O 3.8589 5.4625 3.3563
O 4.1619 5.9754 0.7627
O 4.1619 5.9754 5.9499
O 6.3976 4.1643 8.4364
O 6.3976 4.1643 11.7017
O 6.4390 4.1399 1.6217
O 6.4390 4.1399 5.0910
O 8.2499 2.3386 0.7627
O 8.2499 2.3386 5.9499
O 7.9573 2.8575 3.3563
```

Calculated values
SG   No. 176

=====

[7]
Entry from the Alexandria database: an optimized crystal structure of Rb12CaCl4O4 (GGA-PBE).

extended XYZ file:
```
21
Lattice="7.8808 0.0000 0.0000 0.1694 7.9022 0.0000 3.4203 0.8028 12.9722" Properties=species:S:1:pos:R:3 pbc="T T T"
Rb 0.0000 0.0000 0.0000
Rb 1.5703 2.2480 5.5658
Rb 2.9997 4.9476 8.0449
Rb 3.4703 0.8716 8.8142
Rb 5.4074 5.9054 11.0946
Rb 4.3746 3.4225 1.8249
Rb 5.5154 6.9751 5.6115
Rb 4.5370 7.5270 0.5958
Rb 6.8406 4.1103 7.7817
Rb 7.6561 8.2843 8.8651
Rb 8.7863 3.4746 10.9233
Rb 8.0838 3.3745 1.0199
Ca 1.6818 6.2346 2.8281
Cl 2.0389 1.0155 2.5375
Cl 5.4994 2.5667 10.8016
Cl 6.8153 5.9481 2.6613
Cl 9.8282 6.6578 10.8923
O 2.3141 5.4932 1.0455
O 5.4971 6.5104 8.3063
O 5.9967 1.8160 0.3301
O 9.2088 2.6162 8.1887
```

Calculated values
SG   No. 1
Excess energy over the best structure of this formula in the dataset   0.015 eV/atom

=====

[8]
Entry from the Alexandria database: an optimized crystal structure of Rb12CaCl4O4 (GGA-PBE).

extended XYZ file:
```
21
Lattice="8.1314 0.0000 0.0000 0.0000 11.3399 0.0000 -1.8483 0.0000 8.4732" Properties=species:S:1:pos:R:3 pbc="T T T"
Rb 0.0000 0.0000 0.0000
Rb 0.2737 5.6700 0.6243
Rb 1.2776 2.2569 3.0888
Rb 1.2776 9.0830 3.0888
Rb 0.6251 3.0754 7.5707
Rb 0.6251 8.2646 7.5707
Rb 2.4815 5.6700 4.7764
Rb 4.4963 0.0000 3.9869
Rb 5.7670 3.1202 1.4615
Rb 5.7670 8.2198 1.4615
Rb 5.1030 3.1444 6.3332
Rb 5.1030 8.1955 6.3332
Ca 2.0567 0.0000 6.2926
Cl -0.6361 0.0000 5.3807
Cl -0.5812 5.6700 5.8806
Cl 3.6521 0.0000 0.6791
Cl 3.3328 5.6700 7.8483
O 0.0647 2.7757 0.5042
O 0.0647 8.5643 0.5042
O 2.8764 1.7670 5.4426
O 2.8764 9.5729 5.4426
```

Calculated values
SG   No. 6
Excess energy over the best structure of this formula in the dataset   0.000 eV/atom

=====

[9]
Entry from the Alexandria database: an optimized crystal structure of CaReClO4 (GGA-PBE).

extended XYZ file:
```
14
Lattice="5.2881 -3.7613 0.0000 5.2881 3.7613 0.0000 -3.8168 0.0000 7.8601" Properties=species:S:1:pos:R:3 pbc="T T T"
Ca 1.3415 0.0000 1.4230
Ca 5.4179 0.0000 6.4370
Re 1.3867 0.0000 5.5694
Re 5.3727 0.0000 2.2907
Cl -2.4572 0.0000 6.6114
Cl 9.2166 0.0000 1.2486
O 0.5470 1.4250 6.1380
O 1.4269 0.0000 3.8176
O 3.7344 0.0000 1.6658
O 6.2124 1.4250 1.7220
O 0.5470 -1.4250 6.1380
O 3.0250 0.0000 6.1943
O 5.3325 0.0000 4.0424
O 6.2124 -1.4250 1.7220
```

Calculated values
SG   No. 12

=====

[10]
Entry from the Alexandria database: an optimized crystal structure of CaRhCl2O (GGA-PBE).

extended XYZ file:
```
5
Lattice="5.1254 0.0000 0.0000 0.0000 5.1254 0.0000 0.0000 0.0000 6.3524" Properties=species:S:1:pos:R:3 pbc="T T T"
Ca 0.0000 0.0000 0.0000
Rh 0.0000 0.0000 3.1762
Cl 0.0000 2.5627 0.0000
Cl 2.5627 0.0000 0.0000
O 2.5627 2.5627 3.1762
```

Calculated values
SG   No. 123

=====

[11]
Entry from the Alexandria database: an optimized crystal structure of CaRuClO4 (GGA-PBE).

extended XYZ file:
```
14
Lattice="5.1508 -3.7816 0.0000 5.1508 3.7816 0.0000 -2.1670 0.0000 6.9154" Properties=species:S:1:pos:R:3 pbc="T T T"
Ca 1.8359 0.0000 0.8932
Ca 6.2988 0.0000 6.0223
Ru 2.1923 0.0000 5.0713
Ru 5.9424 0.0000 1.8442
Cl -1.4094 0.0000 5.3237
Cl 9.5441 0.0000 1.5917
O 1.4157 1.4002 5.8002
O 2.0235 0.0000 3.3400
O 4.2447 0.0000 1.4251
O 1.4157 -1.4002 5.8002
O 6.7189 1.4002 1.1153
O 3.8900 0.0000 5.4903
O 6.1112 0.0000 3.5754
O 6.7189 -1.4002 1.1153
```

Calculated values
SG   No. 12

=====

[12]
Entry from the Alexandria database: an optimized crystal structure of CaSCl2O (GGA-PBE).

extended XYZ file:
```
5
Lattice="4.6114 0.0000 0.0000 0.0000 4.6114 0.0000 0.0000 0.0000 4.3087" Properties=species:S:1:pos:R:3 pbc="T T T"
Ca 0.0000 0.0000 0.0000
S 2.3057 2.3057 0.0000
Cl 0.0000 2.3057 2.1543
Cl 2.3057 0.0000 2.1543
O 2.3057 2.3057 2.1543
```

Calculated values
SG   No. 123
Excess energy over the best structure of this formula in the dataset   0.000 eV/atom

=====

Size of the total moment (computed, μB/atom): 0.0000 0.0000 0.0000 0.0000 0.0000 0.0000 0.0001 0.0065 0.0074 0.0368 0.1489 0.0000
Uncorrected formation energy (computed, kJ/mol of atoms): -278.32 -220.34 -295.60 -149.39 -167.03 -231.35 -123.34 -124.81 -201.25 23.67 -134.24 -51.08